A geometry-optimized AcHf2SnO8 structure. Source: the Alexandria database, functional PBE.

Cell lengths 6.9741, 7.1537, 6.9169 Å; angles 90.00, 90.00, 90.00 degrees
Last column: nearest neighbours and their distance in Å.
Space group Cmmm (No. 65)
Inequivalent atoms, fractional coordinates:
Ac  0.0000  0.0000  0.0000 (multiplicity 2)  6 O 2.42-2.45
Hf  0.0000  0.5000  0.2679 (multiplicity 4)  6 O 2.05-2.19
Sn  0.0000  0.0000  0.5000 (multiplicity 2)  6 O 2.06-2.20
O  0.0000  0.3072  0.5000 (multiplicity 4)  2 Hf 2.12, 1 Sn 2.20
O  0.0000  0.3380  0.0000 (multiplicity 4)  2 Hf 2.19, 1 O 2.32, 1 Ac 2.42
O  0.2068  0.0000  0.2865 (multiplicity 8)  1 Hf 2.05, 1 Sn 2.06

Computed properties:
ΔE_f (raw): -2.73 eV per atom
Final energy: -8.371 eV/atom
Total moment: 0.9 μB per formula unit